The following is a PBE-GGA calculation of ZnSi2 after structural relaxation, from the Alexandria database.

a b c (Å): 3.8768 3.8768 4.6810
angles (deg): 90.00 90.00 120.00
Fractional positions:
Zn (0.0000, 0.0000, 0.0000)
Si (0.6667, 0.3333, 0.2480)
Si (0.6667, 0.3333, 0.7520)

Calculated values
- formation energy without anion corrections (kJ/mol of formula units) = 154
- DFT total energy (eV per formula unit) = -10.53
- DOS(E_F) (states/eV/atom) = 0.506